(1)
# TlCSCl2

An optimized crystal structure of TlCSCl2 (GGA-PBE, the Alexandria database).

Computed properties:
**ΔE to the lowest computed polymorph**: 0 meV per atom
**E_tot**: -16.68 eV for the cell shown

Cell: 5.570 5.570 3.610 Å, 90.00 90.00 90.00°
Atoms (fractional coordinates):
1 C 0.000 0.000 0.000
2 S 0.000 0.000 0.500
3 Cl 0.000 0.500 0.000
4 Cl 0.500 0.000 0.000
5 Tl 0.500 0.500 0.500



(2)
# Cu2HI4

An optimized crystal structure of Cu2HI4 (GGA-PBE, the Alexandria database).

Computed properties:
**E_tot**: -35.81 eV for the cell shown

Cell: 7.934 7.928 8.828 Å, 116.27 114.07 93.92°
Atoms (fractional coordinates):
1 H 0.112 0.130 0.981
2 H 0.129 0.629 0.486
3 Cu 0.098 0.326 0.701
4 Cu 0.536 0.388 0.668
5 Cu 0.531 0.877 0.173
6 Cu 0.679 0.405 0.319
7 I 0.380 0.160 0.739
8 I 0.463 0.648 0.285
9 I 0.361 0.653 0.780
10 I 0.858 0.118 0.288
11 I 0.917 0.087 0.779
12 I 0.869 0.561 0.749
13 I 0.374 0.165 0.266
14 I 0.943 0.602 0.285



| no. | spin magnetization (μB/f.u.) |
| --- | --- |
| 1 | 0.00 |
| 2 | 0.00 |